Crystalline Mn3CuSe4O12 at its relaxed geometry. Source: Alexandria, functional PBE with a Hubbard U.

DFT total energy: -0.4447 Ry per atom
Density of states at the Fermi level: 0.1231 states/eV per atom
Space group: No. 2

Unit cell a=5.2639 b=6.1556 c=7.8717 alpha=90.16 beta=88.89 gamma=88.15
With the nearest neighbours (Å) after each atom.
Positions (direct):
Mn (0.5000, 0.0000, 0.5000)  6 O 2.20-2.31
Mn (0.0000, 0.5000, 0.5000)  6 O 2.16-2.38
Mn (0.5000, 0.0000, 0.0000)  4 O 2.08-2.30
Cu (0.0000, 0.5000, 0.0000)  4 O 2.03-2.13
Se (0.5071, 0.4703, 0.7605)  3 O 1.73-1.77
Se (0.9845, 0.9644, 0.7562)  3 O 1.74-1.76
Se (0.4929, 0.5297, 0.2395)  3 O 1.73-1.77
Se (0.0155, 0.0356, 0.2438)  3 O 1.74-1.76
O (0.6154, 0.3051, 0.9229)  1 Se 1.73
O (0.8676, 0.8182, 0.5848)  1 Se 1.75
O (0.3738, 0.6815, 0.4138)  1 Se 1.75
O (0.1182, 0.1984, 0.0736)  1 Se 1.76
O (0.3846, 0.6949, 0.0771)  1 Se 1.73
O (0.1324, 0.1818, 0.4152)  1 Se 1.75
O (0.6262, 0.3185, 0.5862)  1 Se 1.75
O (0.8818, 0.8016, 0.9264)  1 Se 1.76
O (0.1756, 0.4264, 0.7603)  1 Se 1.77
O (0.3118, 0.9193, 0.7467)  1 Se 1.74
O (0.8244, 0.5736, 0.2397)  1 Se 1.77
O (0.6882, 0.0807, 0.2533)  1 Se 1.74